# CaRh3F, optimized geometry, DFT PBE
data_CaRh3F
_symmetry_space_group_name_H-M 'P m -3 m'
_symmetry_Int_Tables_number 221
_symmetry_space_group_name_Hall '-P 4 2 3'
_cell_length_a 4.416
_cell_length_b 4.416
_cell_length_c 4.416
_cell_angle_alpha 90.00
_cell_angle_beta 90.00
_cell_angle_gamma 90.00
loop_
_atom_site_label
_atom_site_fract_x
_atom_site_fract_y
_atom_site_fract_z
Ca1 0.000 0.000 0.000
Rh1 0.000 0.500 0.500
F1 0.500 0.500 0.500
# formation energy (no corrections): 0.205 eV/atom
# ρ: 7.09 g/cm³
# volume: 86 Å³ per cell